1.
Entry from Alexandria: a crystal of MnGeTeN2 relaxed with PBEsol (SCAN).

The structure in POSCAR format:
```
MnGeTeN2
1.0
3.7360 0.0000 0.0000
0.0000 3.7360 0.0000
0.0000 0.0000 5.2536
Mn Ge Te N
1 1 1 2
direct
0.0000 0.0000 0.0000
0.5000 0.5000 0.5000
0.0000 0.0000 0.5000
0.0000 0.5000 0.0000
0.5000 0.0000 0.0000
```

Calculated values
**Uncorrected formation energy**: 0.855 eV per atom
**Size of the total moment**: 0.00 μB per formula unit
**Theoretical density**: 6.41 Mg/m³


2.
Entry from Alexandria: a crystal of NaMnGe3 relaxed with PBEsol (SCAN).

The structure in POSCAR format:
```
NaMnGe3
1.0
4.5947 0.0000 0.0000
0.0000 4.5947 0.0000
0.0000 0.0000 4.5947
Na Mn Ge
1 1 3
direct
0.0000 0.0000 0.0000
0.5000 0.5000 0.5000
0.0000 0.5000 0.5000
0.5000 0.0000 0.5000
0.5000 0.5000 0.0000
```

Calculated values
**Size of the total moment**: 1.85 μB per formula unit
**Theoretical density**: 5.06 Mg/m³
**Energy relative to the elements**: 0.06 eV per atom


> Among the records above, which one has the lowest size of the total moment?

MnGeTeN2


> What is the formula in the second record?

NaMnGe3